# 1
Density functional theory data (PBE-GGA) for a geometry-optimized Na6PtAu2 structure.

a b c (Å): 5.0033 5.0033 10.5146
angles (deg): 76.24 76.24 60.00
Last column: nearest neighbours and their distance in Å.
Positions (direct):
Na 0.5888 0.5888 0.2335  3 Au 2.91, 4 Na 3.24
Na 0.3042 0.3042 0.0874  3 Pt 3.02, 4 Na 3.24
Pt 0.0000 0.0000 0.0000  2 Au 2.71, 6 Na 3.02
Na 0.8083 0.8083 0.5751  4 Au 3.10-3.30, 4 Na 3.26-3.41
Na 0.6958 0.6958 0.9126  3 Pt 3.02, 4 Na 3.24
Au 0.9106 0.9106 0.2681  1 Pt 2.71, 3 Na 2.91
Na 0.1917 0.1917 0.4249  4 Au 3.10-3.30, 4 Na 3.26-3.41
Na 0.4112 0.4112 0.7665  3 Au 2.91, 4 Na 3.24
Au 0.0894 0.0894 0.7319  1 Pt 2.71, 3 Na 2.91

Computed properties:
* calculated total energy: -22.49 eV per formula unit
* symmetry: R-3m (166)
* ΔH_f (0 K): -1.98 eV/f.u.
* density of states at the Fermi level: 3.131 states/eV per cell

=====

# 2
Density functional theory data (PBE-GGA) for a geometry-optimized NaSn3B structure.

a b c (Å): 4.9927 4.9927 4.9927
angles (deg): 90.00 90.00 90.00
Last column: nearest neighbours and their distance in Å.
Positions (direct):
Sn 0.0000 0.5000 0.0000  2 B 2.50
Na 0.5000 0.5000 0.5000  12 Sn 3.53
B 0.0000 0.0000 0.0000  6 Sn 2.50
Sn 0.0000 0.0000 0.5000  2 B 2.50
Sn 0.5000 0.0000 0.0000  2 B 2.50

Computed properties:
* calculated total energy: -17.67 eV per formula unit
* symmetry: Pm-3m (221)
* ΔH_f (0 K): 2.33 eV/f.u.
* energy above the most stable polymorph in this dataset: 0.0 kJ per mole of atoms
* density of states at the Fermi level: 2.988 states/eV per cell

=====

# 3
Density functional theory data (PBE-GGA) for a geometry-optimized TaPt2 structure.

a b c (Å): 4.0218 4.0218 12.3645
angles (deg): 99.36 99.36 90.00
Last column: nearest neighbours and their distance in Å.
Positions (direct):
Pt 0.5009 0.0009 0.0018  4 Ta 2.80-2.83, 8 Pt 2.84-2.90
Ta 0.3317 0.8317 0.6633  10 Pt 2.80-2.85, 2 Ta 2.90
Ta 0.1683 0.6683 0.3367  10 Pt 2.80-2.85, 2 Ta 2.90
Pt 0.4143 0.4143 0.8286  6 Pt 2.76-2.90, 6 Ta 2.83-2.85
Pt 0.9991 0.4991 0.9982  4 Ta 2.80-2.83, 8 Pt 2.84-2.90
Pt 0.7491 0.7491 0.4982  4 Ta 2.80-2.83, 8 Pt 2.84-2.90
Pt 0.8357 0.3357 0.6714  6 Pt 2.76-2.90, 6 Ta 2.83-2.85
Pt 0.5857 0.5857 0.1714  6 Pt 2.76-2.90, 6 Ta 2.83-2.85
Pt 0.6643 0.1643 0.3286  6 Pt 2.76-2.90, 6 Ta 2.83-2.85
Ta 0.0817 0.0817 0.1633  10 Pt 2.80-2.85, 2 Ta 2.90
Pt 0.2509 0.2509 0.5018  4 Ta 2.80-2.83, 8 Pt 2.84-2.90
Ta 0.9183 0.9183 0.8367  10 Pt 2.80-2.85, 2 Ta 2.90

Computed properties:
* calculated total energy: -25.66 eV per formula unit
* symmetry: I4_1/amd (141)
* ΔH_f (0 K): -1.73 eV/f.u.
* density of states at the Fermi level: 10.255 states/eV per cell

=====

# 4
Density functional theory data (PBE-GGA) for a geometry-optimized K2YOs structure.

a b c (Å): 3.7536 4.7071 6.3262
angles (deg): 90.00 90.00 90.00
Last column: nearest neighbours and their distance in Å.
Positions (direct):
K 0.0000 0.0000 0.0000  4 K 3.01
K 0.5000 0.5000 0.0000  4 K 3.01
Os 0.5000 0.0000 0.5000  4 Y 3.01
Y 0.0000 0.5000 0.5000  4 Os 3.01

Computed properties:
* calculated total energy: -16.10 eV per formula unit
* symmetry: Pmmm (47)
* ΔH_f (0 K): 3.79 eV/f.u.
* energy above the most stable polymorph in this dataset: 43.1 kJ per mole of atoms
* density of states at the Fermi level: 3.806 states/eV per cell

=====

# 5
Density functional theory data (PBE-GGA) for a geometry-optimized Ho4AgIr structure.

a b c (Å): 9.4979 9.4979 9.4979
angles (deg): 60.00 60.00 60.00
Last column: nearest neighbours and their distance in Å.
Positions (direct):
Ag 0.4962 0.1679 0.1679  3 Ag 3.12, 9 Ho 3.20-3.45
Ag 0.1679 0.4962 0.1679  3 Ag 3.12, 9 Ho 3.20-3.45
Ir 0.1778 0.6074 0.6074  6 Ho 2.78-2.82
Ho 0.8064 0.3979 0.3979  3 Ir 2.82
Ir 0.6074 0.6074 0.1778  6 Ho 2.78-2.82
Ho 0.9391 0.9391 0.5609  2 Ir 2.78
Ho 0.1870 0.1870 0.8130  2 Ag 3.20, 10 Ho 3.43-3.56, 2 Ir 3.43
Ho 0.5609 0.5609 0.9391  2 Ir 2.78
Ho 0.3979 0.3979 0.8064  3 Ir 2.82
Ho 0.3979 0.3979 0.3979  3 Ir 2.82
Ho 0.5609 0.9391 0.9391  2 Ir 2.78
Ag 0.1679 0.1679 0.4962  3 Ag 3.12, 9 Ho 3.20-3.45
Ho 0.1870 0.8130 0.1870  2 Ag 3.20, 10 Ho 3.43-3.56, 2 Ir 3.43
Ir 0.6074 0.1778 0.6074  6 Ho 2.78-2.82
Ho 0.5609 0.9391 0.5609  2 Ir 2.78
Ho 0.8130 0.8130 0.1870  2 Ag 3.20, 10 Ho 3.43-3.56, 2 Ir 3.43
Ho 0.3979 0.8064 0.3979  3 Ir 2.82
Ho 0.8130 0.1870 0.8130  2 Ag 3.20, 10 Ho 3.43-3.56, 2 Ir 3.43
Ho 0.9391 0.5609 0.5609  2 Ir 2.78
Ho 0.1870 0.8130 0.8130  2 Ag 3.20, 10 Ho 3.43-3.56, 2 Ir 3.43
Ir 0.6074 0.6074 0.6074  6 Ho 2.78-2.82
Ho 0.9391 0.5609 0.9391  2 Ir 2.78
Ho 0.8130 0.1870 0.1870  2 Ag 3.20, 10 Ho 3.43-3.56, 2 Ir 3.43
Ag 0.1679 0.1679 0.1679  3 Ag 3.12, 9 Ho 3.20-3.45

Computed properties:
* calculated total energy: -33.08 eV per formula unit
* symmetry: F-43m (216)
* ΔH_f (0 K): -3.05 eV/f.u.
* energy above the most stable polymorph in this dataset: 0.0 kJ per mole of atoms
* density of states at the Fermi level: 24.803 states/eV per cell

=====

# 6
Density functional theory data (PBE-GGA) for a geometry-optimized BaLi2PBr structure.

a b c (Å): 4.7960 4.7960 6.4438
angles (deg): 90.00 90.00 90.00
Last column: nearest neighbours and their distance in Å.
Positions (direct):
Li 0.0000 0.5000 0.0000  2 P 2.40
P 0.0000 0.0000 0.0000  4 Li 2.40
Br 0.5000 0.5000 0.5000  4 Ba 3.39
Li 0.5000 0.0000 0.0000  2 P 2.40
Ba 0.0000 0.0000 0.5000  2 P 3.22, 4 Br 3.39

Computed properties:
* calculated total energy: -18.23 eV per formula unit
* symmetry: P4/mmm (123)

=====

# 7
Density functional theory data (PBE-GGA) for a geometry-optimized La2CrCo structure.

a b c (Å): 7.4914 7.4914 6.1451
angles (deg): 52.44 52.44 90.00
Last column: nearest neighbours and their distance in Å.
Positions (direct):
Cr 0.2500 0.7500 0.5000  4 La 2.88, 2 Co 3.11
Co 0.0000 0.0000 0.0000  4 La 2.65
La 0.8750 0.8975 0.7500  2 Co 2.65, 2 Cr 2.88
Cr 0.5000 0.5000 0.0000  4 La 2.88, 2 Co 3.11
Co 0.7500 0.2500 0.5000  4 La 2.65
La 0.6475 0.1250 0.2500  2 Co 2.65, 2 Cr 2.88
La 0.1025 0.6250 0.2500  2 Co 2.65, 2 Cr 2.88
La 0.3750 0.3525 0.7500  2 Co 2.65, 2 Cr 2.88

Computed properties:
* calculated total energy: -23.60 eV per formula unit
* symmetry: I-42d (122)
* ΔH_f (0 K): 2.98 eV/f.u.
* energy above the most stable polymorph in this dataset: 52.4 kJ per mole of atoms
* density of states at the Fermi level: 17.134 states/eV per cell

=====

# 8
Density functional theory data (PBE-GGA) for a geometry-optimized Pm2NiS structure.

a b c (Å): 3.4948 3.4948 7.0361
angles (deg): 90.00 90.00 90.00
Last column: nearest neighbours and their distance in Å.
Positions (direct):
S 0.5000 0.5000 0.5000  8 Pm 3.05
Pm 0.0000 0.0000 0.2448  4 Ni 3.01, 4 S 3.05
Pm 0.0000 0.0000 0.7552  4 Ni 3.01, 4 S 3.05
Ni 0.5000 0.5000 0.0000  8 Pm 3.01

Computed properties:
* calculated total energy: -22.95 eV per formula unit
* symmetry: P4/mmm (123)
* energy above the most stable polymorph in this dataset: 27.8 kJ per mole of atoms
* density of states at the Fermi level: 4.498 states/eV per cell